DFT (PBE) results for a relaxed FeHgGePt crystal.

Structure (CIF):
```
data_FeHgGePt
_chemical_formula_sum 'Fe4 Hg4 Ge4 Pt4'
_symmetry_space_group_name_H-M 'F -4 3 m'
_symmetry_Int_Tables_number 216
_symmetry_space_group_name_Hall 'F -4 2 3'
_cell_length_a 6.420
_cell_length_b 6.420
_cell_length_c 6.420
_cell_angle_alpha 90.00
_cell_angle_beta 90.00
_cell_angle_gamma 90.00
loop_
_atom_site_label
_atom_site_type_symbol
_atom_site_fract_x
_atom_site_fract_y
_atom_site_fract_z
Fe1 Fe 0.000 0.000 0.000
Hg1 Hg 0.250 0.250 0.250
Ge1 Ge 0.250 0.250 0.750
Pt1 Pt 0.000 0.000 0.500
```

- crystal system = cubic
- total energy (Ry per atom) = -0.339